A relaxed structure of PrSiPb, computed with PBE.

Cell: 5.113 5.113 5.113 Å, 60.00 60.00 60.00°
Atoms (fractional coordinates):
Pr 0.000 0.000 0.000
Si 0.250 0.250 0.250
Pb 0.750 0.750 0.750

Calculated values
magnetization	0.00	μB per formula unit
calculated total energy	-4.47	eV per atom
SG	F-43m (216)